Record 1
Entry from the Alexandria database: a relaxed TlAuCl2F crystal (PBE).

Properties
Uncorrected energy = -3.007 eV per atom
Total moment = 0.0 Bohr magnetons per cell
Formation energy (no corrections) = -0.766 eV per atom

Cell and atoms, written as CIF:
```
data_TlAuCl2F
_cell_length_a 5.139
_cell_length_b 5.139
_cell_length_c 4.509
_cell_angle_alpha 90.00
_cell_angle_beta 90.00
_cell_angle_gamma 90.00
_space_group_name_H-M_alt 'P 4/m m m'
_space_group_IT_number 123
_space_group_name_Hall '-P 4 2'
loop_
_atom_site_label
_atom_site_type_symbol
_atom_site_fract_x
_atom_site_fract_y
_atom_site_fract_z
Tl1 Tl 0.000 0.000 0.000
Au1 Au 0.500 0.500 0.500
Cl1 Cl 0.000 0.500 0.500
F1 F 0.500 0.500 0.000
```

Record 2
Entry from the Alexandria database: a relaxed KFeAsPb2 crystal (PBE).

Properties
Uncorrected energy = -2.690 eV per atom
Total moment = 3.8 Bohr magnetons per cell
Energy of formation from the pure elements = 8.18 eV/f.u.

Cell and atoms, written as CIF:
```
data_KFeAsPb2
_cell_length_a 5.895
_cell_length_b 5.895
_cell_length_c 5.471
_cell_angle_alpha 90.00
_cell_angle_beta 90.00
_cell_angle_gamma 90.00
_space_group_name_H-M_alt 'P 4/m m m'
_space_group_IT_number 123
_space_group_name_Hall '-P 4 2'
loop_
_atom_site_label
_atom_site_type_symbol
_atom_site_fract_x
_atom_site_fract_y
_atom_site_fract_z
K1 K 0.000 0.000 0.000
Fe1 Fe 0.500 0.500 0.500
As1 As 0.000 0.000 0.500
Pb1 Pb 0.000 0.500 0.000
```